Entry 1:
An optimized crystal structure of Na2ZnGe2S6. Source: Alexandria via LeMat-Bulk, functional PBE.

Output
N(E_F) = 0.00 states/eV/atom
E = -4.16 eV per atom
Theoretical density = 2784 kg/m³

Unit cell a=7.4255 b=12.5596 c=11.7861 alpha=90.00 beta=102.94 gamma=90.00
Space group Cc (No. 9)
Asymmetric unit:
1 Na 0.0000 0.0263 0.0000 (multiplicity 4)
2 Na 0.0977 0.2957 0.6593 (multiplicity 4)
3 Zn 0.1497 0.2405 0.3184 (multiplicity 4)
4 Ge 0.0313 0.3605 0.0478 (multiplicity 4)
5 Ge 0.3614 0.0211 0.7906 (multiplicity 4)
6 S 0.0947 0.0564 0.2920 (multiplicity 4)
7 S 0.1166 0.4275 0.8880 (multiplicity 4)
8 S 0.2833 0.3273 0.1803 (multiplicity 4)
9 S 0.3378 0.2745 0.5051 (multiplicity 4)
10 S 0.3615 0.1894 0.8394 (multiplicity 4)
11 S 0.3884 0.0072 0.1035 (multiplicity 4)

Entry 2:
An optimized crystal structure of Na12GeSb7. Source: Alexandria via LeMat-Bulk, functional PBE.

Output
N(E_F) = 0.55 states/eV/atom
E = -2.66 eV per atom
Theoretical density = 3176 kg/m³

Unit cell a=12.7537 b=12.7537 c=13.3704 alpha=90.00 beta=90.00 gamma=120.00
Space group R-3 (No. 148, hexagonal axes)
Asymmetric unit:
1 Na 0.0431 0.4698 0.2374 (multiplicity 18)
2 Na 0.0684 0.1766 0.8315 (multiplicity 18)
3 Ge 0.0000 0.0000 0.5000 (multiplicity 3)
4 Sb 0.0000 0.0000 0.0000 (multiplicity 3)
5 Sb 0.0624 0.2108 0.3352 (multiplicity 18)

Entry 3:
An optimized crystal structure of NaGe2Sb2. Source: Alexandria via LeMat-Bulk, functional PBE.

Output
N(E_F) = 0.40 states/eV/atom
E = -3.70 eV per atom
Theoretical density = 5440 kg/m³

Unit cell a=8.1497 b=8.1497 c=3.7850 alpha=90.00 beta=90.00 gamma=90.00
Space group P4/mbm (No. 127)
Asymmetric unit:
1 Na 0.0000 0.0000 0.0000 (multiplicity 2)
2 Ge 0.1277 0.3723 0.0000 (multiplicity 4)
3 Sb 0.1570 0.6570 0.5000 (multiplicity 4)

Entry 4:
An optimized crystal structure of NaGeSb3. Source: Alexandria via LeMat-Bulk, functional PBE.

Output
Energy relative to the lowest polymorph listed for this composition = 0.000 eV/atom
N(E_F) = 0.47 states/eV/atom
Theoretical density = 5254 kg/m³

Unit cell a=8.3671 b=17.9176 c=3.8867 alpha=90.00 beta=90.00 gamma=90.00
Space group Cmm2 (No. 35)
Asymmetric unit:
1 Na 0.0000 0.0000 0.0000 (multiplicity 2)
2 Na 0.0000 0.5000 0.5000 (multiplicity 2)
3 Ge 0.2500 0.2500 0.9997 (multiplicity 4)
4 Sb 0.0000 0.3557 0.9998 (multiplicity 4)
5 Sb 0.1876 0.1340 0.4991 (multiplicity 8)

Entry 5:
An optimized crystal structure of Na2GeSb2. Source: Alexandria via LeMat-Bulk, functional PBE.

Output
Energy relative to the lowest polymorph listed for this composition = 0.000 eV/atom
N(E_F) = 0.32 states/eV/atom
Theoretical density = 3867 kg/m³

Unit cell a=6.8161 b=12.7624 c=7.1505 alpha=90.00 beta=90.00 gamma=90.00
Space group Ibam (No. 72)
Asymmetric unit:
1 Na 0.1632 0.1279 0.0000 (multiplicity 8)
2 Ge 0.0000 0.5000 0.2500 (multiplicity 4)
3 Sb 0.1918 0.3779 0.0000 (multiplicity 8)

Entry 6:
An optimized crystal structure of Na2Ge2Sb3. Source: Alexandria via LeMat-Bulk, functional PBE.

Output
N(E_F) = 0.42 states/eV/atom
E = -3.48 eV per atom
Theoretical density = 3999 kg/m³

Unit cell a=8.2900 b=8.0616 c=7.6664 alpha=90.00 beta=115.56 gamma=90.00
Space group P2_1/c (No. 14)
Asymmetric unit:
1 Na 0.1336 0.1760 0.2329 (multiplicity 4)
2 Ge 0.3402 0.5970 0.2639 (multiplicity 4)
3 Sb 0.0000 0.0000 0.5000 (multiplicity 2)
4 Sb 0.3580 0.5961 0.6266 (multiplicity 4)

Entry 7:
An optimized crystal structure of Na3GeSb4. Source: Alexandria via LeMat-Bulk, functional PBE.

Output
N(E_F) = 0.33 states/eV/atom
E = -3.21 eV per atom
Theoretical density = 4064 kg/m³

Unit cell a=5.9338 b=9.3654 c=9.2433 alpha=90.00 beta=90.00 gamma=90.00
Space group Imm2 (No. 44)
Asymmetric unit:
1 Na 0.0000 0.0000 0.0000 (multiplicity 2)
2 Na 0.0000 0.2251 0.3428 (multiplicity 4)
3 Ge 0.0000 0.5000 0.9115 (multiplicity 2)
4 Sb 0.0000 0.3288 0.6707 (multiplicity 4)
5 Sb 0.2418 0.0000 0.6654 (multiplicity 4)

Entry 8:
An optimized crystal structure of Na3GeSb. Source: Alexandria via LeMat-Bulk, functional PBE.

Output
Energy relative to the lowest polymorph listed for this composition = 0.555 eV/atom
N(E_F) = 1.13 states/eV/atom
Theoretical density = 2186 kg/m³

Unit cell a=5.8486 b=5.8486 c=5.8486 alpha=90.00 beta=90.00 gamma=90.00
Space group Pm-3m (No. 221)
Asymmetric unit:
1 Na 0.0000 0.0000 0.5000 (multiplicity 3)
2 Ge 0.5000 0.5000 0.5000 (multiplicity 1)
3 Sb 0.0000 0.0000 0.0000 (multiplicity 1)

Entry 9:
An optimized crystal structure of NaGeSb3. Source: Alexandria via LeMat-Bulk, functional PBE.

Output
Energy relative to the lowest polymorph listed for this composition = 0.337 eV/atom
N(E_F) = 0.85 states/eV/atom
Theoretical density = 4701 kg/m³

Unit cell a=5.4605 b=5.4605 c=5.4605 alpha=90.00 beta=90.00 gamma=90.00
Space group Pm-3m (No. 221)
Asymmetric unit:
1 Na 0.0000 0.0000 0.0000 (multiplicity 1)
2 Ge 0.5000 0.5000 0.5000 (multiplicity 1)
3 Sb 0.0000 0.5000 0.5000 (multiplicity 3)

Entry 10:
An optimized crystal structure of NaGe2Sb2. Source: Alexandria via LeMat-Bulk, functional PBE.

Output
N(E_F) = 0.32 states/eV/atom
E = -3.75 eV per atom
Theoretical density = 5132 kg/m³

Unit cell a=5.3973 b=5.3973 c=9.1486 alpha=90.00 beta=90.00 gamma=90.00
Space group I4/mmm (No. 139)
Asymmetric unit:
1 Na 0.0000 0.0000 0.0000 (multiplicity 2)
2 Ge 0.0000 0.0000 0.3579 (multiplicity 4)
3 Sb 0.0000 0.5000 0.2500 (multiplicity 4)

Entry 11:
An optimized crystal structure of NaGe3Sb. Source: Alexandria via LeMat-Bulk, functional PBE.

Output
Energy relative to the lowest polymorph listed for this composition = 0.000 eV/atom
N(E_F) = 0.67 states/eV/atom
Theoretical density = 3738 kg/m³

Unit cell a=5.4413 b=5.4413 c=5.4413 alpha=90.00 beta=90.00 gamma=90.00
Space group Pm-3m (No. 221)
Asymmetric unit:
1 Na 0.0000 0.0000 0.0000 (multiplicity 1)
2 Ge 0.0000 0.5000 0.5000 (multiplicity 3)
3 Sb 0.5000 0.5000 0.5000 (multiplicity 1)

Entry 12:
An optimized crystal structure of NaGeSb. Source: Alexandria via LeMat-Bulk, functional PBE.

Output
N(E_F) = 0.51 states/eV/atom
E = -3.42 eV per atom
Theoretical density = 4181 kg/m³

Unit cell a=4.1137 b=4.1137 c=35.3507 alpha=90.00 beta=90.00 gamma=120.00
Space group R-3m (No. 166, hexagonal axes)
Asymmetric unit:
1 Na 0.0000 0.0000 0.2397 (multiplicity 6)
2 Ge 0.0000 0.0000 0.1529 (multiplicity 6)
3 Sb 0.0000 0.0000 0.3571 (multiplicity 6)

Q: Which formula does entry 1 have?
A: Na2ZnGe2S6